[1]
Density functional theory data (PBE) for an optimized crystal structure of W.

a b c (Å): 8.052 8.052 8.052
angles (deg): 90.00 90.00 90.00
Positions (direct):
W (0.175, 0.175, 0.175)
W (0.175, 0.825, 0.825)
W (0.825, 0.175, 0.825)
W (0.825, 0.825, 0.175)
W (0.675, 0.675, 0.675)
W (0.675, 0.325, 0.325)
W (0.325, 0.675, 0.325)
W (0.325, 0.325, 0.675)
W (0.372, 0.372, 0.372)
W (0.372, 0.628, 0.628)
W (0.628, 0.372, 0.628)
W (0.628, 0.628, 0.372)
W (0.872, 0.872, 0.872)
W (0.872, 0.128, 0.128)
W (0.128, 0.872, 0.128)
W (0.128, 0.128, 0.872)

Properties
density	9.35	g cm⁻³
VASP energy	-10.3146	eV/atom


[2]
Density functional theory data (PBE) for an optimized crystal structure of W.

a b c (Å): 5.081 5.081 5.081
angles (deg): 90.00 90.00 90.00
Positions (direct):
W (0.250, 0.000, 0.500)
W (0.750, 0.000, 0.500)
W (0.000, 0.500, 0.250)
W (0.000, 0.500, 0.750)
W (0.500, 0.750, 0.000)
W (0.500, 0.250, 0.000)
W (0.000, 0.000, 0.000)
W (0.500, 0.500, 0.500)

Properties
density	18.62	g cm⁻³
VASP energy	-12.8707	eV/atom